1) First-principles (PBE) data for a relaxed SiNi3Ag crystal, as listed in the Alexandria database.

Calculated values
Crystal system ... cubic

a b c (Å): 4.2171 4.2171 4.2171
angles (deg): 90.00 90.00 90.00
Closest atoms and distances in Å follow each position.
Atoms (fractional coordinates):
Ni (0.0000, 0.5000, 0.0000)  2 Si 2.11
Ni (0.0000, 0.0000, 0.5000)  2 Si 2.11
Ni (0.5000, 0.0000, 0.0000)  2 Si 2.11
Si (0.0000, 0.0000, 0.0000)  6 Ni 2.11
Ag (0.5000, 0.5000, 0.5000)  12 Ni 2.98

---

2) First-principles (PBE) data for a relaxed SiNi3Ag crystal, as listed in the Alexandria database.

Calculated values
Crystal system ... cubic

a b c (Å): 4.5752 4.5752 4.5752
angles (deg): 90.00 90.00 90.00
Closest atoms and distances in Å follow each position.
Atoms (fractional coordinates):
Ni (0.0000, 0.5000, 0.0000)  2 Ag 2.29
Ni (0.0000, 0.0000, 0.5000)  2 Ag 2.29
Ni (0.5000, 0.0000, 0.0000)  2 Ag 2.29
Si (0.5000, 0.5000, 0.5000)  12 Ni 3.24
Ag (0.0000, 0.0000, 0.0000)  6 Ni 2.29

---

Which structure wins on stability? 1) wins.

---

1) First-principles (PBE) data for a relaxed Si2Ni2Ag crystal, as listed in the Alexandria database.

Calculated values
Crystal system ... tetragonal

a b c (Å): 3.5848 3.5848 5.9477
angles (deg): 72.46 72.46 90.00
Closest atoms and distances in Å follow each position.
Atoms (fractional coordinates):
Ni (0.3835, 0.3835, 0.2330)  4 Si 2.30, 1 Ni 2.51
Ni (0.6165, 0.6165, 0.7670)  4 Si 2.30, 1 Ni 2.51
Si (0.7500, 0.2500, 0.5000)  4 Ni 2.30, 4 Si 2.53
Si (0.2500, 0.7500, 0.5000)  4 Ni 2.30, 4 Si 2.53
Ag (0.0000, 0.0000, 0.0000)  8 Ni 2.83

---

2) First-principles (PBE) data for a relaxed Si2Ni2Ag crystal, as listed in the Alexandria database.

Calculated values
Crystal system ... tetragonal

a b c (Å): 6.9377 6.9377 2.6551
angles (deg): 90.00 90.00 90.00
Closest atoms and distances in Å follow each position.
Atoms (fractional coordinates):
Ni (0.1681, 0.6681, 0.5000)  6 Si 2.40-2.46, 2 Ni 2.66
Ni (0.6681, 0.8319, 0.5000)  6 Si 2.40-2.46, 2 Ni 2.66
Ni (0.8319, 0.3319, 0.5000)  6 Si 2.40-2.46, 2 Ni 2.66
Ni (0.3319, 0.1681, 0.5000)  6 Si 2.40-2.46, 2 Ni 2.66
Si (0.3722, 0.8722, 0.0000)  6 Ni 2.40-2.46, 3 Si 2.51-2.66
Si (0.8722, 0.6278, 0.0000)  6 Ni 2.40-2.46, 3 Si 2.51-2.66
Si (0.6278, 0.1278, 0.0000)  6 Ni 2.40-2.46, 3 Si 2.51-2.66
Si (0.1278, 0.3722, 0.0000)  6 Ni 2.40-2.46, 3 Si 2.51-2.66
Ag (0.0000, 0.0000, 0.0000)  2 Ag 2.66, 4 Si 2.73, 8 Ni 2.90
Ag (0.5000, 0.5000, 0.0000)  2 Ag 2.66, 4 Si 2.73, 8 Ni 2.90

---

Which structure wins on stability? 2) wins.

---

1) First-principles (PBE) data for a relaxed Sm8NiAg2 crystal, as listed in the Alexandria database.

Calculated values
Crystal system ... monoclinic

a b c (Å): 5.2459 6.9079 9.2748
angles (deg): 103.01 106.43 90.00
Closest atoms and distances in Å follow each position.
Atoms (fractional coordinates):
Sm (0.4117, 0.5590, 0.8234)  1 Ni 3.08, 3 Sm 3.43-3.45
Sm (0.6557, 0.9698, 0.3115)  1 Ni 2.83, 1 Ag 3.01
Sm (0.7987, 0.6817, 0.5974)  1 Ag 2.95
Sm (0.9748, 0.2180, 0.9495)  1 Ag 3.01, 2 Ni 3.11, 1 Sm 3.34
Sm (0.2013, 0.3183, 0.4026)  1 Ag 2.95
Sm (0.3443, 0.0302, 0.6885)  1 Ni 2.83, 1 Ag 3.01
Sm (0.5883, 0.4410, 0.1766)  1 Ni 3.08, 3 Sm 3.43-3.45
Sm (0.0252, 0.7820, 0.0505)  1 Ag 3.01, 2 Ni 3.11, 1 Sm 3.34
Ni (0.5000, 0.0000, 0.0000)  8 Sm 2.83-3.11
Ag (0.8105, 0.2623, 0.6211)  5 Sm 2.95-3.20
Ag (0.1895, 0.7377, 0.3789)  5 Sm 2.95-3.20

---

2) First-principles (PBE) data for a relaxed Sm8NiAg2 crystal, as listed in the Alexandria database.

Calculated values
Crystal system ... monoclinic

a b c (Å): 6.1797 8.9886 8.9886
angles (deg): 130.54 102.72 102.72
Closest atoms and distances in Å follow each position.
Atoms (fractional coordinates):
Sm (0.6495, 0.3834, 0.1581)  1 Ni 2.78, 1 Ag 3.04
Sm (0.6495, 0.1581, 0.3834)  1 Ni 2.78, 1 Ag 3.04
Sm (0.1497, 0.2790, 0.2790)  1 Ni 2.64
Sm (0.9804, 0.2013, 0.8078)  4 Ag 3.36-3.41, 5 Sm 3.55-3.73, 1 Ni 3.74
Sm (0.9804, 0.8078, 0.2013)  4 Ag 3.36-3.41, 5 Sm 3.55-3.73, 1 Ni 3.74
Sm (0.7706, 0.7419, 0.7419)  1 Ni 2.73
Sm (0.2845, 0.8393, 0.6119)  1 Ni 2.77, 1 Ag 3.07
Sm (0.2845, 0.6119, 0.8393)  1 Ni 2.77, 1 Ag 3.07
Ni (0.2871, 0.0007, 0.0007)  6 Sm 2.64-2.78
Ag (0.4817, 0.7264, 0.2841)  7 Sm 3.04-3.40
Ag (0.4817, 0.2841, 0.7264)  7 Sm 3.04-3.40

---

Which structure wins on stability? 1) wins.

---

1) First-principles (PBE) data for a relaxed Sm2NiAg crystal, as listed in the Alexandria database.

Calculated values
Crystal system ... tetragonal

a b c (Å): 3.5450 3.5450 7.3403
angles (deg): 90.00 90.00 90.00
Closest atoms and distances in Å follow each position.
Atoms (fractional coordinates):
Ni (0.5000, 0.5000, 0.0000)  8 Sm 3.01
Ag (0.5000, 0.5000, 0.5000)  8 Sm 3.21, 4 Ag 3.55
Sm (0.0000, 0.0000, 0.7736)  4 Ni 3.01, 4 Ag 3.21, 1 Sm 3.32
Sm (0.0000, 0.0000, 0.2264)  4 Ni 3.01, 4 Ag 3.21, 1 Sm 3.32

---

2) First-principles (PBE) data for a relaxed Sm2NiAg crystal, as listed in the Alexandria database.

Calculated values
Crystal system ... trigonal

a b c (Å): 4.0532 4.0532 7.6278
angles (deg): 74.59 74.59 60.00
Closest atoms and distances in Å follow each position.
Atoms (fractional coordinates):
Sm (0.0697, 0.0697, 0.7908)  3 Ni 2.81
Sm (0.2638, 0.2638, 0.2086)  3 Ni 2.77
Ni (0.6650, 0.6650, 0.0050)  6 Sm 2.77-2.81
Ag (0.5014, 0.5014, 0.4957)  6 Sm 3.13-3.17

---

Which structure wins on stability? 1) wins.

---

1) First-principles (PBE) data for a relaxed NiAgSn crystal, as listed in the Alexandria database.

Calculated values
Crystal system ... cubic

a b c (Å): 4.3099 4.3099 4.3099
angles (deg): 60.00 60.00 60.00
Closest atoms and distances in Å follow each position.
Atoms (fractional coordinates):
Ni (0.2500, 0.2500, 0.2500)  4 Sn 2.64, 4 Ag 2.64
Sn (0.5000, 0.5000, 0.5000)  4 Ni 2.64
Ag (0.0000, 0.0000, 0.0000)  4 Ni 2.64

---

2) First-principles (PBE) data for a relaxed NiAgSn crystal, as listed in the Alexandria database.

Calculated values
Crystal system ... monoclinic

a b c (Å): 6.1687 6.1687 12.3162
angles (deg): 151.78 151.78 40.55
Closest atoms and distances in Å follow each position.
Atoms (fractional coordinates):
Ag (0.6606, 0.6606, 0.7501)  4 Ni 2.78-2.87, 2 Ag 2.96, 4 Sn 3.02-3.03
Ag (0.3394, 0.3394, 0.2499)  4 Ni 2.78-2.87, 2 Ag 2.96, 4 Sn 3.02-3.03
Sn (0.3705, 0.3705, 0.7513)  4 Ni 2.59-2.63
Sn (0.6295, 0.6295, 0.2487)  4 Ni 2.59-2.63
Ni (0.9942, 0.9942, 0.7486)  4 Sn 2.59-2.63, 4 Ag 2.78-2.87
Ni (0.0058, 0.0058, 0.2514)  4 Sn 2.59-2.63, 4 Ag 2.78-2.87

---

Which structure wins on stability? 2) wins.

---

1) First-principles (PBE) data for a relaxed NiAgSn3 crystal, as listed in the Alexandria database.

Calculated values
Crystal system ... cubic

a b c (Å): 4.9823 4.9823 4.9823
angles (deg): 90.00 90.00 90.00
Closest atoms and distances in Å follow each position.
Atoms (fractional coordinates):
Ni (0.0000, 0.0000, 0.0000)  6 Sn 2.49
Sn (0.0000, 0.5000, 0.0000)  2 Ni 2.49
Sn (0.0000, 0.0000, 0.5000)  2 Ni 2.49
Sn (0.5000, 0.0000, 0.0000)  2 Ni 2.49
Ag (0.5000, 0.5000, 0.5000)  12 Sn 3.52

---

2) First-principles (PBE) data for a relaxed NiAgSn3 crystal, as listed in the Alexandria database.

Calculated values
Crystal system ... monoclinic

a b c (Å): 6.4912 6.4912 6.9590
angles (deg): 106.65 121.22 97.88
Closest atoms and distances in Å follow each position.
Atoms (fractional coordinates):
Ni (0.6522, 0.7230, 0.3752)  5 Sn 2.53-2.77, 2 Ag 2.70-2.74
Ni (0.3478, 0.2770, 0.6248)  5 Sn 2.53-2.77, 2 Ag 2.70-2.74
Ag (0.6935, 0.0525, 0.7460)  2 Ni 2.70-2.74, 1 Ag 2.79, 3 Sn 2.90-2.99
Ag (0.3065, 0.9475, 0.2540)  2 Ni 2.70-2.74, 1 Ag 2.79, 3 Sn 2.90-2.99
Sn (0.8464, 0.9896, 0.2407)  2 Ni 2.65-2.77
Sn (0.2512, 0.3944, 0.2407)  2 Ni 2.65-2.77
Sn (0.7488, 0.6056, 0.7593)  2 Ni 2.65-2.77
Sn (0.7352, 0.4072, 0.1424)  1 Ni 2.53
Sn (0.1536, 0.0104, 0.7593)  2 Ni 2.65-2.77
Sn (0.2648, 0.5928, 0.8576)  1 Ni 2.53

---

Which structure wins on stability? 2) wins.